1.
A plane-wave DFT calculation with PBE was carried out for a relaxed structure of PaCrAs3.

POSCAR file:
```
PaCrAs3
1.0
11.823 0.000 0.000
0.000 5.761 0.000
0.000 0.000 5.652
Pa Cr As
4 4 12
direct
0.190 0.006 0.250 Pa
0.190 0.494 0.750 Pa
0.810 0.506 0.250 Pa
0.810 0.994 0.750 Pa
0.413 0.750 0.000 Cr
0.413 0.750 0.500 Cr
0.587 0.250 0.000 Cr
0.587 0.250 0.500 Cr
0.001 0.750 0.000 As
0.001 0.750 0.500 As
0.265 0.513 0.250 As
0.265 0.987 0.750 As
0.431 0.102 0.250 As
0.431 0.398 0.750 As
0.569 0.602 0.250 As
0.569 0.898 0.750 As
0.735 0.013 0.250 As
0.735 0.487 0.750 As
0.999 0.250 0.000 As
0.999 0.250 0.500 As
```

---

2.
A plane-wave DFT calculation with PBE was carried out for a relaxed structure of PaCrAs2.

Calculated values
- energy above the most stable polymorph in this dataset (eV per formula unit) = 1.54

POSCAR file:
```
PaCrAs2
1.0
1.578 0.911 9.820
-1.578 0.911 9.820
0.000 -1.822 9.820
Pa Cr As
1 1 2
direct
0.000 0.000 0.000 Pa
0.500 0.500 0.500 Cr
0.416 0.416 0.416 As
0.584 0.584 0.584 As
```

---

3.
A plane-wave DFT calculation with PBE was carried out for a relaxed structure of PaCrAs.

Calculated values
- energy above the most stable polymorph in this dataset (eV per formula unit) = 1.98

POSCAR file:
```
PaCrAs
1.0
-2.069 2.069 3.708
2.069 -2.069 3.708
2.069 2.069 -3.708
Pa Cr As
1 1 1
direct
0.000 0.000 0.000 Pa
0.293 0.293 0.000 Cr
0.621 0.621 0.000 As
```

---

4.
A plane-wave DFT calculation with PBE was carried out for a relaxed structure of PaCrAs.

Calculated values
- energy above the most stable polymorph in this dataset (eV per formula unit) = 0.13

POSCAR file:
```
PaCrAs
1.0
4.320 0.000 0.000
-2.160 3.742 0.000
0.000 0.000 3.503
Pa Cr As
1 1 1
direct
0.000 0.000 0.000 Pa
0.667 0.333 0.500 Cr
0.333 0.667 0.500 As
```

---

5.
A plane-wave DFT calculation with PBE was carried out for a relaxed structure of Pa2CrAs.

Calculated values
- energy above the most stable polymorph in this dataset (eV per formula unit) = 0.05

POSCAR file:
```
Pa2CrAs
1.0
3.639 0.000 0.000
0.000 3.639 0.000
0.000 0.000 6.138
Pa Cr As
2 1 1
direct
0.000 0.000 0.248 Pa
0.000 0.000 0.752 Pa
0.500 0.500 0.500 Cr
0.500 0.500 0.000 As
```

---

6.
A plane-wave DFT calculation with PBE was carried out for a relaxed structure of PaCrAs.

Calculated values
- energy above the most stable polymorph in this dataset (eV per formula unit) = 0.00

POSCAR file:
```
PaCrAs
1.0
5.009 -2.094 0.000
5.009 2.094 0.000
-3.784 0.000 5.257
Pa Cr As
2 2 2
direct
0.040 0.040 0.316 Pa
0.960 0.960 0.684 Pa
0.372 0.372 0.922 Cr
0.628 0.628 0.078 Cr
0.302 0.302 0.249 As
0.698 0.698 0.751 As
```

---

7.
A plane-wave DFT calculation with PBE was carried out for a relaxed structure of Cr2As2Pb.

Calculated values
- energy above the most stable polymorph in this dataset (eV per formula unit) = 0.74

POSCAR file:
```
Cr2As2Pb
1.0
7.849 0.000 0.000
0.000 7.849 0.000
0.000 0.000 3.242
Cr As Pb
4 4 2
direct
0.134 0.366 0.000 Cr
0.366 0.866 0.000 Cr
0.634 0.134 0.000 Cr
0.866 0.634 0.000 Cr
0.143 0.643 0.500 As
0.357 0.143 0.500 As
0.643 0.857 0.500 As
0.857 0.357 0.500 As
0.000 0.000 0.500 Pb
0.500 0.500 0.500 Pb
```

---

8.
A plane-wave DFT calculation with PBE was carried out for a relaxed structure of CrAs4Pb.

POSCAR file:
```
CrAs4Pb
1.0
0.000 4.022 4.022
4.022 0.000 4.022
4.022 4.022 0.000
Cr As Pb
1 4 1
direct
0.000 0.000 0.000 Cr
0.373 0.373 0.373 As
0.373 0.373 0.880 As
0.373 0.880 0.373 As
0.880 0.373 0.373 As
0.750 0.750 0.750 Pb
```

---

Sequential total magnetic moment output: 9.78, 3.97, 2.16, 1.91, 0.00, 0.00, 14.65, 4.66 μB/cell
Sequential ΔH_f (0 K) output: -0.5758, 0.1894, 0.2279, -0.3898, -0.1636, -0.4334, 0.2467, 0.4810 eV/atom